Entry from Alexandria via LeMat-Bulk: a relaxed Y2CoSi crystal (PBEsol).

abc: 3.8763 4.0432 5.5400
angles: 111.40 90.00 90.00
Atoms (fractional coordinates):
1 Y 0.0000 0.1047 0.2095
2 Y 0.5000 0.3873 0.7747
3 Si 0.5000 0.6854 0.3709
4 Co 0.0000 0.8161 0.6323

ΔE_f (raw): -55 kJ per mole of atoms
total DFT energy (no corrections): -7.347 eV per atom
V: 20.210 Å³ per atom
total magnetic moment: 0.0001 μB per atom
DOS(E_F): 3.801 states/eV per cell
density: 5.44 g cm⁻³
symmetry: Amm2